# 1
Computed, not measured: a geometry-optimized LaTc2Pb structure at the GGA-PBE level of DFT.

Cell: 3.1373 4.6171 5.8762 Å, 90.00 90.42 90.00°
Last column: nearest neighbours and their distance in Å.
Sites, in units of the cell vectors:
La1 0.0000 0.0000 0.0000  4 Tc 2.71
Tc1 0.2658 0.5000 0.1979  2 La 2.71, 2 Tc 2.76-2.85, 2 Pb 3.00
Tc2 0.7342 0.5000 0.8021  2 La 2.71, 2 Tc 2.76-2.85, 2 Pb 3.00
Pb1 0.5000 0.0000 0.5000  4 Tc 3.00, 2 Pb 3.14, 4 La 3.32-3.34

**Total moment**: 0.00 μB per formula unit
**Formation energy from the elements**: 0.53 eV/atom

=====

# 2
Computed, not measured: a geometry-optimized CdPt2W structure at the GGA-PBE level of DFT.

Cell: 2.8308 2.8308 8.3259 Å, 90.00 90.00 90.00°
Last column: nearest neighbours and their distance in Å.
Sites, in units of the cell vectors:
Cd1 0.0000 0.0000 0.0000  4 Cd 2.83, 4 Pt 2.90, 4 W 3.04
Pt1 0.0000 0.0000 0.5020  4 W 2.73, 8 Pt 2.83-2.89
Pt2 0.5000 0.5000 0.2521  8 Pt 2.83-2.89, 4 Cd 2.90
W1 0.5000 0.5000 0.7250  4 Pt 2.73, 4 W 2.83, 4 Cd 3.04

**Total moment**: 0.00 μB per formula unit
**Formation energy from the elements**: 0.02 eV/atom

=====

# 3
Computed, not measured: a geometry-optimized Tm2TeS structure at the GGA-PBE level of DFT.

Cell: 7.2035 7.2035 7.2035 Å, 32.47 32.47 32.47°
Last column: nearest neighbours and their distance in Å.
Sites, in units of the cell vectors:
Tm1 0.2333 0.2333 0.2333  3 S 2.70
Tm2 0.7667 0.7667 0.7667  3 S 2.70
Te1 0.0000 0.0000 0.0000  6 Tm 3.10
S1 0.5000 0.5000 0.5000  6 Tm 2.70

**Total moment**: 0.00 μB per formula unit
**Raw formation energy**: -6.29 eV/f.u.
**Distance to the lowest polymorph of the same formula**: 29.5 meV/atom

=====

# 4
Computed, not measured: a geometry-optimized BeNbV2H structure at the GGA-PBE level of DFT.

Cell: 3.6800 3.6800 4.2146 Å, 90.00 90.00 90.00°
Last column: nearest neighbours and their distance in Å.
Sites, in units of the cell vectors:
Be1 0.0000 0.0000 0.0000  4 Nb 2.60, 8 V 2.80
Nb1 0.5000 0.5000 0.0000  2 H 2.11
V1 0.0000 0.5000 0.5000  2 H 1.84
V2 0.5000 0.0000 0.5000  2 H 1.84
H1 0.5000 0.5000 0.5000  4 V 1.84

**DFT total energy**: -35.49 eV per cell
**Total moment**: 0.00 μB per formula unit

=====

# 5
Computed, not measured: a geometry-optimized LiRuCl2 structure at the GGA-PBE level of DFT.

Cell: 7.3859 7.3859 7.3859 Å, 29.28 29.28 29.28°
Last column: nearest neighbours and their distance in Å.
Sites, in units of the cell vectors:
Li1 0.0000 0.0000 0.0000  2 Cl 2.33
Ru1 0.5000 0.5000 0.5000  6 Cl 2.47
Cl1 0.1099 0.1099 0.1099  1 Li 2.33, 3 Ru 2.47
Cl2 0.8901 0.8901 0.8901  1 Li 2.33, 3 Ru 2.47

**Total moment**: 0.00 μB per formula unit
**Raw formation energy**: -0.59 eV/f.u.
**Distance to the lowest polymorph of the same formula**: 319.8 meV/atom

=====

# 6
Computed, not measured: a geometry-optimized CsBa2DyBr8 structure at the GGA-PBE level of DFT.

Cell: 7.1973 7.3088 10.0951 Å, 90.02 90.04 90.15°
Last column: nearest neighbours and their distance in Å.
Sites, in units of the cell vectors:
Cs1 0.0000 0.0000 0.0000  6 Br 3.47-3.63
Ba1 0.5002 0.5000 0.2540  6 Br 3.18-3.39
Ba2 0.4998 0.5000 0.7460  6 Br 3.18-3.39
Dy1 0.0000 0.0000 0.5000  6 Br 2.80-2.88
Br1 0.2271 0.8508 0.3023  1 Dy 2.80
Br2 0.2277 0.8517 0.6980  1 Dy 2.80
Br3 0.2382 0.3173 0.4997  1 Dy 2.88
Br4 0.2578 0.4016 0.9999  2 Ba 3.18, 1 Cs 3.47
Br5 0.7422 0.5984 0.0001  2 Ba 3.18, 1 Cs 3.47
Br6 0.7618 0.6827 0.5003  1 Dy 2.88
Br7 0.7723 0.1483 0.3020  1 Dy 2.80
Br8 0.7729 0.1492 0.6977  1 Dy 2.80

**Total moment**: 0.00 μB per formula unit
**Raw formation energy**: -23.86 eV/f.u.

=====

# 7
Computed, not measured: a geometry-optimized Mn2ZnI6 structure at the GGA-PBE level of DFT.

Cell: 7.6305 7.6305 9.9727 Å, 102.86 102.86 36.50°
Last column: nearest neighbours and their distance in Å.
Sites, in units of the cell vectors:
Mn1 0.2160 0.2160 0.1712  4 I 2.65-2.93
Mn2 0.7840 0.7840 0.8288  4 I 2.65-2.93
Zn1 0.0000 0.0000 0.5000  2 I 2.57
I1 0.0372 0.0372 0.2600  1 Zn 2.57
I2 0.3472 0.3472 0.4064  1 Mn 2.65
I3 0.3471 0.3471 0.9709  3 Mn 2.82-3.06
I4 0.6529 0.6529 0.0291  3 Mn 2.82-3.06
I5 0.6528 0.6528 0.5936  1 Mn 2.65
I6 0.9628 0.9628 0.7400  1 Zn 2.57

**Total moment**: 10.00 μB per formula unit
**Raw formation energy**: -3.13 eV/f.u.

=====

# 8
Computed, not measured: a geometry-optimized TmZr2Sc6 structure at the GGA-PBE level of DFT.

Cell: 3.3020 3.3020 23.7973 Å, 90.00 90.00 120.00°
Last column: nearest neighbours and their distance in Å.
Sites, in units of the cell vectors:
Tm1 0.0000 0.0000 0.0000  6 Tm 3.30, 6 Sc 3.33
Zr1 0.3333 0.6667 0.3315  6 Sc 3.13-3.19, 6 Zr 3.30
Zr2 0.3333 0.6667 0.6685  6 Sc 3.13-3.19, 6 Zr 3.30
Sc1 0.0000 0.0000 0.2241  3 Zr 3.19, 9 Sc 3.22-3.30
Sc2 0.0000 0.0000 0.4360  7 Sc 3.04-3.30, 3 Zr 3.13
Sc3 0.0000 0.0000 0.5640  7 Sc 3.04-3.30, 3 Zr 3.13
Sc4 0.0000 0.0000 0.7759  3 Zr 3.19, 9 Sc 3.22-3.30
Sc5 0.3333 0.6667 0.1150  9 Sc 3.22-3.30, 3 Tm 3.33
Sc6 0.3333 0.6667 0.8850  9 Sc 3.22-3.30, 3 Tm 3.33

**Total moment**: 1.38 μB per formula unit
**Distance to the lowest polymorph of the same formula**: 0.0 meV/atom
**Formation energy from the elements**: 0.04 eV/atom

=====

# 9
Computed, not measured: a geometry-optimized Na3Ta3ReN8 structure at the GGA-PBE level of DFT.

Cell: 6.1766 6.1766 6.8044 Å, 117.03 117.03 60.01°
Last column: nearest neighbours and their distance in Å.
Sites, in units of the cell vectors:
Na1 0.0000 0.0000 0.0000  6 N 2.52
Na2 0.0000 0.5000 0.0000  6 N 2.52
Na3 0.5000 0.0000 0.0000  6 N 2.52
Ta1 0.0000 0.5000 0.5000  6 N 2.10-2.11
Ta2 0.5000 0.0000 0.5000  6 N 2.10-2.11
Ta3 0.5000 0.5000 0.5000  6 N 2.10-2.11
Re1 0.0000 0.0000 0.5000  6 N 2.05-2.06
N1 0.2253 0.2253 0.6887  1 Re 2.05, 2 Ta 2.11
N2 0.2258 0.7376 0.6892  1 Re 2.06, 2 Ta 2.11
N3 0.2624 0.7742 0.3108  1 Re 2.06, 2 Ta 2.11
N4 0.2690 0.2690 0.3075  3 Ta 2.10
N5 0.7310 0.7310 0.6925  3 Ta 2.10
N6 0.7376 0.2258 0.6892  1 Re 2.06, 2 Ta 2.11
N7 0.7742 0.2624 0.3108  1 Re 2.06, 2 Ta 2.11
N8 0.7747 0.7747 0.3113  1 Re 2.05, 2 Ta 2.11

**Total moment**: 0.00 μB per formula unit
**Raw formation energy**: -9.06 eV/f.u.

=====

# 10
Computed, not measured: a geometry-optimized Cs2TcHgI6 structure at the GGA-PBE level of DFT.

Cell: 8.6890 8.6890 8.6890 Å, 119.97 119.97 90.05°
Last column: nearest neighbours and their distance in Å.
Sites, in units of the cell vectors:
Cs1 0.2500 0.7500 0.5000  12 I 4.36
Cs2 0.7500 0.2500 0.5000  12 I 4.36
Tc1 0.0000 0.0000 0.0000  6 I 2.77
Hg1 0.5000 0.5000 0.0000  6 I 3.37-3.38
I1 0.2253 0.2253 0.4506  1 Tc 2.77
I2 0.2253 0.7747 0.0000  1 Tc 2.77
I3 0.2255 0.2255 0.0000  1 Tc 2.77
I4 0.7745 0.7745 0.0000  1 Tc 2.77
I5 0.7747 0.2253 0.0000  1 Tc 2.77
I6 0.7747 0.7747 0.5494  1 Tc 2.77

**Total moment**: 3.00 μB per formula unit
**Raw formation energy**: -6.73 eV/f.u.

=====

# 11
Computed, not measured: a geometry-optimized SrZnRe2 structure at the GGA-PBE level of DFT.

Cell: 3.2258 4.5437 5.0219 Å, 90.00 90.00 90.00°
Last column: nearest neighbours and their distance in Å.
Sites, in units of the cell vectors:
Sr1 0.0000 0.0000 0.0000  4 Zn 2.79, 4 Re 2.98
Zn1 0.5000 0.5000 0.0000  4 Sr 2.79, 4 Re 2.98
Re1 0.0000 0.5000 0.5000  4 Re 2.79, 4 Zn 2.98
Re2 0.5000 0.0000 0.5000  4 Re 2.79, 4 Sr 2.98

**Total moment**: 0.00 μB per formula unit
**Formation energy from the elements**: 0.94 eV/atom

=====

# 12
Computed, not measured: a geometry-optimized AgWAu2 structure at the GGA-PBE level of DFT.

Cell: 5.8021 5.8021 5.8021 Å, 152.27 127.54 60.36°
Last column: nearest neighbours and their distance in Å.
Sites, in units of the cell vectors:
Ag1 0.0000 0.0000 0.0000  2 Ag 2.78, 4 W 2.92, 4 Au 2.96
W1 0.5000 0.5000 0.0000  4 Au 2.78, 2 W 2.78, 4 Ag 2.92
Au1 0.2605 0.7605 0.5000  2 W 2.78, 6 Au 2.78-2.92, 2 Ag 2.96
Au2 0.7395 0.2395 0.5000  2 W 2.78, 6 Au 2.78-2.92, 2 Ag 2.96

**Total moment**: 0.00 μB per formula unit
**Distance to the lowest polymorph of the same formula**: 327.5 meV/atom
**Formation energy from the elements**: 0.56 eV/atom

=====

# 13
Computed, not measured: a geometry-optimized PuZr2Rh3 structure at the GGA-PBE level of DFT.

Cell: 3.3029 3.3029 10.3834 Å, 90.00 90.00 90.00°
Last column: nearest neighbours and their distance in Å.
Sites, in units of the cell vectors:
Pu1 0.0000 0.0000 0.0000  8 Rh 3.09, 4 Pu 3.30
Zr1 0.0000 0.0000 0.3379  8 Rh 2.77-2.88
Zr2 0.0000 0.0000 0.6621  8 Rh 2.77-2.88
Rh1 0.5000 0.5000 0.1949  4 Zr 2.77, 4 Pu 3.09
Rh2 0.5000 0.5000 0.5000  8 Zr 2.88, 2 Rh 3.17
Rh3 0.5000 0.5000 0.8051  4 Zr 2.77, 4 Pu 3.09

**Total moment**: 5.23 μB per formula unit
**Formation energy from the elements**: -0.66 eV/atom